# 1
The following is a PBE calculation of a relaxed structure of Zn3IrN, from Alexandria via LeMat-Bulk.

Cell lengths 4.8445, 4.8445, 4.8445 Å; angles 90.00, 90.00, 90.00 degrees
With the nearest neighbours (Å) after each atom.
Element x y z (fractional)
Zn 0.0000 0.0000 0.5000  2 Ir 2.42
Zn 0.0000 0.5000 0.0000  2 Ir 2.42
Zn 0.5000 0.0000 0.0000  2 Ir 2.42
Ir 0.0000 0.0000 0.0000  6 Zn 2.42
N 0.5000 0.5000 0.5000  12 Zn 3.43

Summary:
total moment = 2.7 μB per cell
formation energy (no corrections) = 1214.3 meV/atom
uncorrected energy = -2.987 eV/atom

=====

# 2
The following is a PBE calculation of a relaxed structure of AcSmDyTe3, from Alexandria via LeMat-Bulk.

Cell lengths 8.7840, 4.4569, 10.9666 Å; angles 90.00, 106.34, 90.00 degrees
With the nearest neighbours (Å) after each atom.
Element x y z (fractional)
Ac 0.1923 0.2500 0.2200  7 Te 3.31-3.46
Ac 0.8077 0.7500 0.7800  7 Te 3.31-3.46
Sm 0.3398 0.7500 0.9064  5 Te 3.09-3.20
Sm 0.6602 0.2500 0.0936  5 Te 3.09-3.20
Dy 0.1518 0.2500 0.6226  5 Te 3.02-3.19
Dy 0.8482 0.7500 0.3774  5 Te 3.02-3.19
Te 0.0920 0.2500 0.8912  2 Sm 3.09, 1 Dy 3.13, 2 Ac 3.31
Te 0.2200 0.7500 0.4590  3 Dy 3.02-3.13
Te 0.4876 0.7500 0.2084  3 Sm 3.15-3.20, 1 Dy 3.19, 2 Ac 3.45
Te 0.5124 0.2500 0.7916  3 Sm 3.15-3.20, 1 Dy 3.19, 2 Ac 3.45
Te 0.7800 0.2500 0.5410  3 Dy 3.02-3.13
Te 0.9080 0.7500 0.1088  2 Sm 3.09, 1 Dy 3.13, 2 Ac 3.31

Summary:
total moment = 0.0 μB per cell
formation energy (no corrections) = -1287.8 meV/atom
uncorrected energy = -5.097 eV/atom

=====

# 3
The following is a PBE calculation of a relaxed structure of PmDy4Te5, from Alexandria via LeMat-Bulk.

Cell lengths 15.9858, 15.9858, 15.9858 Å; angles 164.36, 164.36, 22.18 degrees
With the nearest neighbours (Å) after each atom.
Element x y z (fractional)
Pm 0.0000 0.0000 0.0000  6 Te 3.08-3.27
Dy 0.2082 0.2082 0.0000  6 Te 3.05-3.26
Dy 0.4053 0.4053 0.0000  6 Te 2.97-3.13
Dy 0.5947 0.5947 0.0000  6 Te 2.97-3.13
Dy 0.7918 0.7918 0.0000  6 Te 3.05-3.26
Te 0.1043 0.1043 0.0000  5 Dy 3.09-3.26, 1 Pm 3.27
Te 0.3055 0.3055 0.0000  6 Dy 3.05-3.13
Te 0.5000 0.5000 0.0000  2 Dy 2.97, 4 Pm 3.08
Te 0.6945 0.6945 0.0000  6 Dy 3.05-3.13
Te 0.8957 0.8957 0.0000  5 Dy 3.09-3.26, 1 Pm 3.27

Summary:
total moment = 0.0 μB per cell
formation energy (no corrections) = -1305.3 meV/atom
uncorrected energy = -5.192 eV/atom

=====

# 4
The following is a PBE calculation of a relaxed structure of DySi3Ru, from Alexandria via LeMat-Bulk.

Cell lengths 5.7803, 5.7803, 5.8667 Å; angles 90.00, 90.00, 121.09 degrees
With the nearest neighbours (Å) after each atom.
Element x y z (fractional)
Dy 0.2403 0.7597 0.7500  12 Si 2.97-3.29, 4 Ru 3.19
Dy 0.7597 0.2403 0.2500  12 Si 2.97-3.29, 4 Ru 3.19
Si 0.2637 0.2637 0.0000  2 Ru 2.40, 2 Si 2.53
Si 0.2637 0.2637 0.5000  2 Ru 2.40, 2 Si 2.53
Si 0.3452 0.6548 0.2500  1 Ru 2.31, 4 Si 2.53
Si 0.6548 0.3452 0.7500  1 Ru 2.31, 4 Si 2.53
Si 0.7363 0.7363 0.0000  2 Ru 2.40, 2 Si 2.53
Si 0.7363 0.7363 0.5000  2 Ru 2.40, 2 Si 2.53
Ru 0.1156 0.8844 0.2500  5 Si 2.31-2.40
Ru 0.8844 0.1156 0.7500  5 Si 2.31-2.40

Summary:
total moment = 0.0 μB per cell
formation energy (no corrections) = -620.5 meV/atom
uncorrected energy = -6.650 eV/atom

=====

# 5
The following is a PBE calculation of a relaxed structure of CaS2N2, from Alexandria via LeMat-Bulk.

Cell lengths 7.1355, 7.1355, 3.0103 Å; angles 90.00, 90.00, 90.00 degrees
With the nearest neighbours (Å) after each atom.
Element x y z (fractional)
Ca 0.0000 0.0000 0.0000  4 S 2.72, 8 N 2.94, 2 Ca 3.01
Ca 0.5000 0.5000 0.0000  4 S 2.72, 8 N 2.94, 2 Ca 3.01
S 0.1485 0.3515 0.0000  2 N 1.80
S 0.3515 0.8515 0.0000  2 N 1.80
S 0.6485 0.1485 0.0000  2 N 1.80
S 0.8515 0.6485 0.0000  2 N 1.80
N 0.2466 0.2534 0.5000  2 S 1.80
N 0.2534 0.7534 0.5000  2 S 1.80
N 0.7466 0.2466 0.5000  2 S 1.80
N 0.7534 0.7466 0.5000  2 S 1.80

Summary:
total moment = 0.0 μB per cell
formation energy (no corrections) = 372.6 meV/atom
uncorrected energy = -5.009 eV/atom

=====

# 6
The following is a PBE calculation of a relaxed structure of Ac2NiPd, from Alexandria via LeMat-Bulk.

Cell lengths 3.7448, 3.7448, 7.5319 Å; angles 90.00, 90.00, 90.00 degrees
With the nearest neighbours (Å) after each atom.
Element x y z (fractional)
Ac 0.0000 0.0000 0.2419  4 Ni 3.21, 4 Pd 3.28
Ac 0.0000 0.0000 0.7581  4 Ni 3.21, 4 Pd 3.28
Ni 0.5000 0.5000 0.0000  8 Ac 3.21
Pd 0.5000 0.5000 0.5000  8 Ac 3.28

Summary:
total moment = 0.0 μB per cell
uncorrected energy = -5.202 eV/atom

=====

# 7
The following is a PBE calculation of a relaxed structure of Ac3AlPd2O9, from Alexandria via LeMat-Bulk.

Cell lengths 5.6872, 5.6872, 6.9754 Å; angles 90.00, 90.00, 120.00 degrees
With the nearest neighbours (Å) after each atom.
Element x y z (fractional)
Ac 0.0000 0.0000 0.0000  12 O 2.84-2.86
Ac 0.3333 0.6667 0.6664  12 O 2.84-2.85
Ac 0.6667 0.3333 0.3336  12 O 2.84-2.85
Al 0.0000 0.0000 0.5000  6 O 1.90
Pd 0.3333 0.6667 0.1759  6 O 2.05-2.08
Pd 0.6667 0.3333 0.8241  6 O 2.05-2.08
O 0.0000 0.5000 0.0000  2 Pd 2.05
O 0.1581 0.3163 0.3431  1 Al 1.90, 1 Pd 2.08
O 0.1581 0.8419 0.3431  1 Al 1.90, 1 Pd 2.08
O 0.3163 0.1581 0.6569  1 Al 1.90, 1 Pd 2.08
O 0.5000 0.0000 0.0000  2 Pd 2.05
O 0.5000 0.5000 0.0000  2 Pd 2.05
O 0.6837 0.8419 0.3431  1 Al 1.90, 1 Pd 2.08
O 0.8419 0.1581 0.6569  1 Al 1.90, 1 Pd 2.08
O 0.8419 0.6837 0.6569  1 Al 1.90, 1 Pd 2.08

Summary:
total moment = 0.6 μB per cell
formation energy (no corrections) = -2270.1 meV/atom
uncorrected energy = -7.009 eV/atom

=====

# 8
The following is a PBE calculation of a relaxed structure of Co2NiSe, from Alexandria via LeMat-Bulk.

Cell lengths 8.2195, 2.8504, 4.2978 Å; angles 90.00, 99.93, 90.00 degrees
With the nearest neighbours (Å) after each atom.
Element x y z (fractional)
Co 0.0000 0.0000 0.0000  3 Co 2.47-2.50, 3 Ni 2.51-2.56, 4 Se 2.57-2.59
Co 0.2421 0.5000 0.2213  3 Co 2.47-2.50, 4 Ni 2.50-2.66, 3 Se 2.50-2.64
Co 0.5000 0.5000 0.0000  3 Co 2.47-2.50, 3 Ni 2.51-2.56, 4 Se 2.57-2.59
Co 0.7421 0.0000 0.2213  3 Co 2.47-2.50, 4 Ni 2.50-2.66, 3 Se 2.50-2.64
Ni 0.2538 0.0000 0.7485  3 Se 2.44-2.62, 7 Co 2.50-2.66
Ni 0.7538 0.5000 0.7485  3 Se 2.44-2.62, 7 Co 2.50-2.66
Se 0.4977 0.0000 0.4958  3 Ni 2.44-2.62, 7 Co 2.50-2.64
Se 0.9977 0.5000 0.4958  3 Ni 2.44-2.62, 7 Co 2.50-2.64

Summary:
total moment = 6.5 μB per cell
formation energy (no corrections) = 225.2 meV/atom
uncorrected energy = -5.644 eV/atom